[1]
## Y3BeSe (GGA-PBE)

Data for a relaxed structure of Y3BeSe.

Calculated values
Fermi-level density of states = 3.4 states/eV/cell
Space-group type = Pm-3m
Formation energy from raw total energies = -0.1478 eV per atom
ρ = 4.3 Mg/m³

a b c (Å): 5.144 5.144 5.144
angles (deg): 90.00 90.00 90.00
Sites, in units of the cell vectors:
Y 0.000 0.500 0.000
Y 0.000 0.000 0.500
Y 0.500 0.000 0.000
Be 0.000 0.000 0.000
Se 0.500 0.500 0.500

=====

[2]
## YBeSe2 (GGA-PBE)

Data for a relaxed structure of YBeSe2.

Calculated values
Fermi-level density of states = 1.6 states/eV/cell
Space-group type = P4/mmm
Formation energy from raw total energies = -0.6396 eV per atom
ρ = 5.4 Mg/m³

a b c (Å): 3.549 4.699 4.699
angles (deg): 90.00 90.00 90.00
Sites, in units of the cell vectors:
Y 0.500 0.500 0.000
Be 0.500 0.000 0.500
Se 0.000 0.000 0.000
Se 0.000 0.500 0.500

=====

[3]
## Y3BeSe6 (GGA-PBE)

Data for a relaxed structure of Y3BeSe6.

Calculated values
Fermi-level density of states = 3.3 states/eV/cell
Space-group type = Cmc2_1
Formation energy from raw total energies = -1.4954 eV per atom
ρ = 4.9 Mg/m³

a b c (Å): 6.281 9.120 9.120
angles (deg): 102.18 90.00 90.00
Sites, in units of the cell vectors:
Y 0.477 0.936 0.721
Y 0.977 0.721 0.936
Y 0.399 0.374 0.626
Y 0.899 0.626 0.374
Y 0.977 0.064 0.279
Y 0.477 0.279 0.064
Be 0.037 0.198 0.802
Be 0.537 0.802 0.198
Se 0.197 0.673 0.645
Se 0.697 0.645 0.673
Se 0.178 0.423 0.903
Se 0.678 0.903 0.423
Se 0.156 0.048 0.952
Se 0.688 0.218 0.782
Se 0.188 0.782 0.218
Se 0.656 0.952 0.048
Se 0.178 0.097 0.577
Se 0.678 0.577 0.097
Se 0.197 0.355 0.327
Se 0.697 0.327 0.355

=====

[4]
## YBeSe2 (GGA-PBE)

Data for a relaxed structure of YBeSe2.

Calculated values
Fermi-level density of states = 1.2 states/eV/cell
Space-group type = Imm2
Formation energy from raw total energies = -0.8467 eV per atom
ρ = 4.5 Mg/m³

a b c (Å): 7.582 7.582 7.582
angles (deg): 152.11 152.59 39.50
Sites, in units of the cell vectors:
Y 0.439 0.439 0.000
Be 0.270 0.770 0.500
Se 0.021 0.021 0.000
Se 0.771 0.271 0.500

=====

[5]
## YBeSe (GGA-PBE)

Data for a relaxed structure of YBeSe.

Calculated values
Fermi-level density of states = 1.5 states/eV/cell
Space-group type = I4mm
Formation energy from raw total energies = -0.4006 eV per atom
ρ = 5.2 Mg/m³

a b c (Å): 5.495 5.495 5.495
angles (deg): 144.28 144.28 51.41
Sites, in units of the cell vectors:
Y 0.664 0.664 0.000
Be 0.967 0.967 0.000
Se 0.369 0.369 0.000

=====

[6]
## Y2BeSe (GGA-PBE)

Data for a relaxed structure of Y2BeSe.

Calculated values
Fermi-level density of states = 2.9 states/eV/cell
Space-group type = R3m
Formation energy from raw total energies = -0.4487 eV per atom
ρ = 4.9 Mg/m³

a b c (Å): 7.354 7.354 7.354
angles (deg): 30.21 30.21 30.21
Sites, in units of the cell vectors:
Y 0.028 0.028 0.028
Y 0.222 0.222 0.222
Be 0.459 0.459 0.459
Se 0.791 0.791 0.791

=====

[7]
## YBeSe2 (GGA-PBE)

Data for a relaxed structure of YBeSe2.

Calculated values
Fermi-level density of states = 1.6 states/eV/cell
Space-group type = R-3m
Formation energy from raw total energies = -0.8968 eV per atom
ρ = 5.4 Mg/m³

a b c (Å): 7.037 7.037 7.037
angles (deg): 30.29 30.29 30.29
Sites, in units of the cell vectors:
Y 0.250 0.250 0.250
Be 0.750 0.750 0.750
Se 0.016 0.016 0.016
Se 0.484 0.484 0.484

=====

[8]
## YBeSe (GGA-PBE)

Data for a relaxed structure of YBeSe.

Calculated values
Fermi-level density of states = 1.2 states/eV/cell
Space-group type = Fmm2
Formation energy from raw total energies = -0.4453 eV per atom
ρ = 4.8 Mg/m³

a b c (Å): 6.062 5.582 3.609
angles (deg): 79.35 64.84 35.81
Sites, in units of the cell vectors:
Y 0.658 0.658 0.342
Be 0.976 0.976 0.024
Se 0.366 0.366 0.634

=====

[9]
## YBe2Se2 (GGA-PBE)

Data for a relaxed structure of YBe2Se2.

Calculated values
Fermi-level density of states = 9.3 states/eV/cell
Space-group type = P4/mbm
Formation energy from raw total energies = -0.3908 eV per atom
ρ = 4.6 Mg/m³

a b c (Å): 7.378 7.378 3.481
angles (deg): 90.00 90.00 90.00
Sites, in units of the cell vectors:
Y 0.000 0.000 0.000
Y 0.500 0.500 0.000
Be 0.402 0.902 0.000
Be 0.902 0.598 0.000
Be 0.598 0.098 0.000
Be 0.098 0.402 0.000
Se 0.272 0.772 0.500
Se 0.772 0.728 0.500
Se 0.728 0.228 0.500
Se 0.228 0.272 0.500

=====

[10]
## YBeSe2 (GGA-PBE)

Data for a relaxed structure of YBeSe2.

Calculated values
Fermi-level density of states = 1.9 states/eV/cell
Space-group type = P2/m
Formation energy from raw total energies = -0.8825 eV per atom
ρ = 5.1 Mg/m³

a b c (Å): 3.434 3.704 6.576
angles (deg): 84.24 90.00 90.00
Sites, in units of the cell vectors:
Y 0.500 0.250 0.250
Be 0.500 0.750 0.750
Se 0.000 0.788 0.993
Se 0.000 0.712 0.507

=====

[11]
## YBe2Se2 (GGA-PBE)

Data for a relaxed structure of YBe2Se2.

Calculated values
Fermi-level density of states = 2.0 states/eV/cell
Space-group type = I4/mmm
Formation energy from raw total energies = -0.4545 eV per atom
ρ = 5.1 Mg/m³

a b c (Å): 4.634 4.634 5.192
angles (deg): 63.49 63.49 90.00
Sites, in units of the cell vectors:
Y 0.000 0.000 0.000
Be 0.363 0.363 0.275
Be 0.637 0.637 0.725
Se 0.750 0.250 0.500
Se 0.250 0.750 0.500

=====

[12]
## Y2BeSe (GGA-PBE)

Data for a relaxed structure of Y2BeSe.

Calculated values
Fermi-level density of states = 2.3 states/eV/cell
Space-group type = R-3m
Formation energy from raw total energies = -0.7924 eV per atom
ρ = 4.7 Mg/m³

a b c (Å): 3.912 3.912 7.436
angles (deg): 74.77 74.77 59.94
Sites, in units of the cell vectors:
Y 0.998 0.998 0.005
Y 0.502 0.502 0.495
Be 0.250 0.250 0.250
Se 0.750 0.750 0.750

=====

[13]
## YBeSe2 (GGA-PBE)

Data for a relaxed structure of YBeSe2.

Calculated values
Fermi-level density of states = 3.1 states/eV/cell
Space-group type = R-3m
Formation energy from raw total energies = -0.8742 eV per atom
ρ = 3.9 Mg/m³

a b c (Å): 7.728 7.728 7.728
angles (deg): 30.96 30.96 30.96
Sites, in units of the cell vectors:
Y 0.500 0.500 0.500
Be 0.000 0.000 0.000
Se 0.907 0.907 0.907
Se 0.093 0.093 0.093

=====

[14]
## Y2BeSe (GGA-PBE)

Data for a relaxed structure of Y2BeSe.

Calculated values
Fermi-level density of states = 3.0 states/eV/cell
Space-group type = F-43m
Formation energy from raw total energies = 0.2587 eV per atom
ρ = 5.1 Mg/m³

a b c (Å): 4.976 4.976 4.976
angles (deg): 60.00 60.00 60.00
Sites, in units of the cell vectors:
Y 0.000 0.000 0.000
Y 0.250 0.250 0.250
Be 0.500 0.500 0.500
Se 0.750 0.750 0.750

=====

[15]
## Y2BeSe (GGA-PBE)

Data for a relaxed structure of Y2BeSe.

Calculated values
Fermi-level density of states = 2.8 states/eV/cell
Space-group type = Cmm2
Formation energy from raw total energies = -0.2916 eV per atom
ρ = 4.9 Mg/m³

a b c (Å): 3.423 3.423 7.637
angles (deg): 90.00 90.00 92.41
Sites, in units of the cell vectors:
Y 0.000 0.000 0.952
Y 0.500 0.500 0.305
Be 0.000 0.000 0.554
Se 0.500 0.500 0.689

=====

[16]
## YBeSe2 (GGA-PBE)

Data for a relaxed structure of YBeSe2.

Calculated values
Fermi-level density of states = 3.0 states/eV/cell
Space-group type = F-43m
Formation energy from raw total energies = -0.0948 eV per atom
ρ = 5.1 Mg/m³

a b c (Å): 4.898 4.898 4.898
angles (deg): 60.00 60.00 60.00
Sites, in units of the cell vectors:
Y 0.750 0.750 0.750
Be 0.500 0.500 0.500
Se 0.000 0.000 0.000
Se 0.250 0.250 0.250

=====

[17]
## YBeSe2 (GGA-PBE)

Data for a relaxed structure of YBeSe2.

Calculated values
Fermi-level density of states = 1.6 states/eV/cell
Space-group type = R3m
Formation energy from raw total energies = -0.9381 eV per atom
ρ = 4.4 Mg/m³

a b c (Å): 7.795 7.795 7.795
angles (deg): 28.53 28.53 28.53
Sites, in units of the cell vectors:
Y 0.493 0.493 0.493
Be 0.732 0.732 0.732
Se 0.045 0.045 0.045
Se 0.230 0.230 0.230

=====

[18]
## YBeSe2 (GGA-PBE)

Data for a relaxed structure of YBeSe2.

Calculated values
Fermi-level density of states = 1.7 states/eV/cell
Space-group type = C2/m
Formation energy from raw total energies = -0.9064 eV per atom
ρ = 4.5 Mg/m³

a b c (Å): 4.229 4.229 6.231
angles (deg): 89.34 89.34 57.64
Sites, in units of the cell vectors:
Y 0.250 0.250 0.250
Be 0.750 0.750 0.750
Se 0.932 0.932 0.993
Se 0.568 0.568 0.507

=====

[19]
## Y2BeSe (GGA-PBE)

Data for a relaxed structure of Y2BeSe.

Calculated values
Fermi-level density of states = 2.9 states/eV/cell
Space-group type = P4/mmm
Formation energy from raw total energies = -0.7628 eV per atom
ρ = 4.7 Mg/m³

a b c (Å): 4.044 4.053 5.739
angles (deg): 90.00 90.00 90.00
Sites, in units of the cell vectors:
Y 0.000 0.000 0.875
Y 0.500 0.500 0.375
Be 0.000 0.000 0.375
Se 0.500 0.500 0.875

=====

[20]
## Y2BeSe (GGA-PBE)

Data for a relaxed structure of Y2BeSe.

Calculated values
Fermi-level density of states = 2.7 states/eV/cell
Space-group type = Fm-3m
Formation energy from raw total energies = -0.4185 eV per atom
ρ = 5.1 Mg/m³

a b c (Å): 4.981 4.981 4.981
angles (deg): 60.00 60.00 60.00
Sites, in units of the cell vectors:
Y 0.250 0.250 0.250
Y 0.750 0.750 0.750
Be 0.000 0.000 0.000
Se 0.500 0.500 0.500

=====

[21]
## YBeSe2 (GGA-PBE)

Data for a relaxed structure of YBeSe2.

Calculated values
Fermi-level density of states = 2.0 states/eV/cell
Space-group type = P4mm
Formation energy from raw total energies = -0.8516 eV per atom
ρ = 4.8 Mg/m³

a b c (Å): 3.926 3.926 5.736
angles (deg): 90.00 90.00 90.00
Sites, in units of the cell vectors:
Y 0.000 0.000 0.360
Be 0.500 0.500 0.941
Se 0.000 0.000 0.863
Se 0.500 0.500 0.336

=====

[22]
## YBeSe (GGA-PBE)

Data for a relaxed structure of YBeSe.

Calculated values
Fermi-level density of states = 2.2 states/eV/cell
Space-group type = P-6m2
Formation energy from raw total energies = -0.5372 eV per atom
ρ = 5.3 Mg/m³

a b c (Å): 4.113 4.113 3.771
angles (deg): 90.00 90.00 120.00
Sites, in units of the cell vectors:
Y 0.667 0.333 0.667
Be 0.000 0.000 0.167
Se 0.333 0.667 0.167

=====

[23]
## Y2BeSe (GGA-PBE)

Data for a relaxed structure of Y2BeSe.

Calculated values
Fermi-level density of states = 3.3 states/eV/cell
Space-group type = Immm
Formation energy from raw total energies = -0.4498 eV per atom
ρ = 4.9 Mg/m³

a b c (Å): 5.170 5.170 5.170
angles (deg): 130.66 117.21 83.75
Sites, in units of the cell vectors:
Y 0.005 0.005 0.000
Y 0.495 0.495 0.000
Be 0.750 0.250 0.500
Se 0.250 0.750 0.500

=====

[24]
## YBeSe2 (GGA-PBE)

Data for a relaxed structure of YBeSe2.

Calculated values
Fermi-level density of states = 1.5 states/eV/cell
Space-group type = Cm
Formation energy from raw total energies = -1.0886 eV per atom
ρ = 5.1 Mg/m³

a b c (Å): 5.798 5.798 4.010
angles (deg): 89.75 89.75 37.96
Sites, in units of the cell vectors:
Y 0.536 0.536 0.399
Be 0.766 0.766 0.770
Se 0.958 0.958 0.902
Se 0.240 0.240 0.429

=====

[25]
## YBeSe2 (GGA-PBE)

Data for a relaxed structure of YBeSe2.

Calculated values
Fermi-level density of states = 1.0 states/eV/cell
Space-group type = Amm2
Formation energy from raw total energies = -1.1750 eV per atom
ρ = 4.9 Mg/m³

a b c (Å): 3.891 3.994 5.880
angles (deg): 70.14 90.00 90.00
Sites, in units of the cell vectors:
Y 0.000 0.564 0.497
Be 0.500 0.942 0.740
Se 0.000 0.856 0.914
Se 0.500 0.138 0.349

=====

[26]
## Y4BeSe (GGA-PBE)

Data for a relaxed structure of Y4BeSe.

Calculated values
Fermi-level density of states = 8.4 states/eV/cell
Space-group type = F-43m
Formation energy from raw total energies = 0.5768 eV per atom
ρ = 4.3 Mg/m³

a b c (Å): 6.216 6.216 6.216
angles (deg): 60.00 60.00 60.00
Sites, in units of the cell vectors:
Y 0.872 0.376 0.376
Y 0.376 0.376 0.872
Y 0.376 0.872 0.376
Y 0.376 0.376 0.376
Be 0.750 0.750 0.750
Se 0.000 0.000 0.000

=====

[27]
## Y2BeSe (GGA-PBE)

Data for a relaxed structure of Y2BeSe.

Calculated values
Fermi-level density of states = 3.0 states/eV/cell
Space-group type = C2/m
Formation energy from raw total energies = -0.5318 eV per atom
ρ = 5.1 Mg/m³

a b c (Å): 7.472 5.050 3.418
angles (deg): 89.55 63.47 126.06
Sites, in units of the cell vectors:
Y 0.000 0.000 0.000
Y 0.500 0.000 0.500
Be 0.000 0.500 0.500
Se 0.500 0.500 0.000

=====

[28]
## Y2BeSe (GGA-PBE)

Data for a relaxed structure of Y2BeSe.

Calculated values
Fermi-level density of states = 12.4 states/eV/cell
Space-group type = I-42d
Formation energy from raw total energies = -0.4014 eV per atom
ρ = 4.5 Mg/m³

a b c (Å): 7.399 7.399 6.333
angles (deg): 54.26 54.26 90.00
Sites, in units of the cell vectors:
Y 0.615 0.125 0.250
Y 0.135 0.625 0.250
Y 0.375 0.385 0.750
Y 0.875 0.865 0.750
Be 0.500 0.500 0.000
Be 0.250 0.750 0.500
Se 0.000 0.000 0.000
Se 0.750 0.250 0.500

=====

[29]
## YBeSe2 (GGA-PBE)

Data for a relaxed structure of YBeSe2.

Calculated values
Fermi-level density of states = 1.5 states/eV/cell
Space-group type = Immm
Formation energy from raw total energies = -0.8232 eV per atom
ρ = 5.4 Mg/m³

a b c (Å): 5.158 5.158 5.158
angles (deg): 139.23 116.25 78.48
Sites, in units of the cell vectors:
Y 0.750 0.250 0.500
Be 0.250 0.750 0.500
Se 0.061 0.061 0.000
Se 0.439 0.439 0.000